Entry 1:
The following is a PBE calculation of a geometry-optimized Nd3DyHg4 structure, from Alexandria via LeMat-Bulk.

DOS(E_F) = 13.9 states/eV/cell
Theoretical density = 9.583 g cm⁻³
Total magnetic moment = 0.00 μB/cell
Polymorph energy (0 for the lowest one) = 142.7 meV/atom
ΔH_f (0 K) = -330 meV per atom

Cell: 3.874 7.710 16.216 Å, 90.00 90.00 90.00°
Space group Immm (No. 71)
Unique sites:
Nd (0.000, 0.000, 0.000) x2
Nd (0.000, 0.500, 0.201) x4
Dy (0.000, 0.000, 0.500) x2
Hg (0.000, 0.295, 0.371) x8

Entry 2:
The following is a PBE calculation of a geometry-optimized Tl3PbSe3 structure, from Alexandria via LeMat-Bulk.

DOS(E_F) = 10.0 states/eV/cell
Theoretical density = 7.378 g cm⁻³
Total magnetic moment = 0.00 μB/cell
Polymorph energy (0 for the lowest one) = 0.0 meV/atom

Cell: 8.959 9.064 11.721 Å, 90.00 90.00 90.00°
Space group Imma (No. 74)
Unique sites:
Tl (0.000, 0.250, 0.218) x4
Tl (0.233, 0.000, 0.500) x8
Pb (0.000, 0.250, 0.744) x4
Se (0.000, 0.250, 0.498) x4
Se (0.250, 0.011, 0.750) x8

Entry 3:
The following is a PBE calculation of a geometry-optimized ReAuCl structure, from Alexandria via LeMat-Bulk.

DOS(E_F) = 6.2 states/eV/cell
Theoretical density = 9.881 g cm⁻³
Total magnetic moment = 17.58 μB/cell
Polymorph energy (0 for the lowest one) = 1156.5 meV/atom

Cell: 6.553 6.553 6.553 Å, 90.00 90.00 90.00°
Space group F-43m (No. 216)
Unique sites:
Re (0.000, 0.000, 0.000) x4
Au (0.250, 0.250, 0.250) x4
Cl (0.000, 0.000, 0.500) x4

Entry 4:
The following is a PBE calculation of a geometry-optimized IrAuSe2 structure, from Alexandria via LeMat-Bulk.

DOS(E_F) = 2.3 states/eV/cell
Theoretical density = 12.392 g cm⁻³
Total magnetic moment = 0.00 μB/cell
Calculated total energy = -4.38 eV per atom

Cell: 3.052 3.112 7.718 Å, 90.00 90.00 90.00°
Space group Pmmm (No. 47)
Unique sites:
Ir (0.000, 0.000, 0.000) x1
Au (0.000, 0.000, 0.500) x1
Se (0.500, 0.500, 0.208) x2